# PuMnSbRu | Alexandria via LeMat-Bulk | PBE | optimized geometry
# Calculated volume   18.01 A^3/atom
# Total magnetic moment   7.99 Bohr magnetons per cell
# Calculated total energy   -150.19 eV/cell
# Crystal system   cubic
# Raw formation energy   -0.1621 eV/atom
# Theoretical density   12.03 g cm⁻³
data_PuMnSbRu
_chemical_formula_sum 'Pu4 Mn4 Sb4 Ru4'
_cell_length_a 6.605
_cell_length_b 6.605
_cell_length_c 6.605
_cell_angle_alpha 90.00
_cell_angle_beta 90.00
_cell_angle_gamma 90.00
_space_group_name_H-M_alt 'F -4 3 m'
_space_group_IT_number 216
_space_group_name_Hall 'F -4 2 3'
loop_
_atom_site_label
_atom_site_type_symbol
_atom_site_fract_x
_atom_site_fract_y
_atom_site_fract_z
Pu1 Pu 0.000 0.000 0.000
Mn1 Mn 0.250 0.250 0.250
Sb1 Sb 0.000 0.000 0.500
Ru1 Ru 0.250 0.250 0.750